MgBeSe (PBE, relaxed); formation energy (no corrections) = 212 meV per atom; symmetry = F-43m (216)
1.0
0.000 3.074 3.074
3.074 0.000 3.074
3.074 3.074 0.000
Mg Be Se
1 1 1
direct
0.000 0.000 0.000
0.750 0.750 0.750
0.500 0.500 0.500